Record 1
This record from Alexandria via LeMat-Bulk describes an optimized crystal structure of RePbSe. The functional is GGA-PBE.

Cell: 3.1582 5.4522 16.0860 Å, 90.00 90.00 90.00°
Space group Fmm2 (No. 42)
One atom of each set of equivalent atoms:
Re (0.0000, 0.0000, 0.0000) [4 per cell]
Pb (0.0000, 0.0000, 0.6595) [4 per cell]
Se (0.0000, 0.0000, 0.3855) [4 per cell]

Computed properties:
DOS(E_F)	12.04	states/eV per cell
total magnetic moment	0.00	μB/f.u.
raw formation energy	0.649	eV/atom



Record 2
This record from Alexandria via LeMat-Bulk describes an optimized crystal structure of RePb3Se. The functional is GGA-PBE.

Cell: 5.6054 5.6054 5.6054 Å, 90.00 90.00 90.00°
Space group Pm-3m (No. 221)
One atom of each set of equivalent atoms:
Re (0.0000, 0.0000, 0.0000) [1 per cell]
Pb (0.0000, 0.5000, 0.5000) [3 per cell]
Se (0.5000, 0.5000, 0.5000) [1 per cell]

Computed properties:
DOS(E_F)	5.67	states/eV per cell
total magnetic moment	4.00	μB/f.u.
raw formation energy	1.398	eV/atom



Record 3
This record from Alexandria via LeMat-Bulk describes an optimized crystal structure of Re2PbSe. The functional is GGA-PBE.

Cell: 4.3623 4.3623 17.6342 Å, 90.00 90.00 90.00°
Space group I-42d (No. 122)
One atom of each set of equivalent atoms:
Re (0.1496, 0.2500, 0.1250) [8 per cell]
Pb (0.0000, 0.0000, 0.5000) [4 per cell]
Se (0.0000, 0.0000, 0.0000) [4 per cell]

Computed properties:
DOS(E_F)	9.27	states/eV per cell
total magnetic moment	0.00	μB/f.u.
raw formation energy	0.901	eV/atom



Record 4
This record from Alexandria via LeMat-Bulk describes an optimized crystal structure of Re2PbSe. The functional is GGA-PBE.

Cell: 3.2281 4.1795 6.8909 Å, 90.00 90.00 90.00°
Space group Pmm2 (No. 25)
One atom of each set of equivalent atoms:
Re (0.0000, 0.0000, 0.0000) [1 per cell]
Re (0.5000, 0.5000, 0.0406) [1 per cell]
Pb (0.5000, 0.0000, 0.3528) [1 per cell]
Se (0.0000, 0.5000, 0.7626) [1 per cell]

Computed properties:
DOS(E_F)	1.63	states/eV per cell
total magnetic moment	0.00	μB/f.u.
raw formation energy	0.458	eV/atom



Record 5
This record from Alexandria via LeMat-Bulk describes an optimized crystal structure of RePb2Se. The functional is GGA-PBE.

Cell: 3.0182 5.2492 5.8773 Å, 90.00 90.00 90.00°
Space group Pmmm (No. 47)
One atom of each set of equivalent atoms:
Re (0.0000, 0.0000, 0.0000) [1 per cell]
Pb (0.0000, 0.0000, 0.5000) [1 per cell]
Pb (0.5000, 0.5000, 0.0000) [1 per cell]
Se (0.5000, 0.5000, 0.5000) [1 per cell]

Computed properties:
DOS(E_F)	4.78	states/eV per cell
total magnetic moment	0.00	μB/f.u.
raw formation energy	0.798	eV/atom



Record 6
This record from Alexandria via LeMat-Bulk describes an optimized crystal structure of RePb2Se. The functional is GGA-PBE.

Cell: 5.1350 5.1350 6.7658 Å, 90.00 90.00 90.00°
Space group I-4m2 (No. 119)
One atom of each set of equivalent atoms:
Re (0.0000, 0.0000, 0.0000) [2 per cell]
Pb (0.0000, 0.0000, 0.5000) [2 per cell]
Pb (0.0000, 0.5000, 0.2500) [2 per cell]
Se (0.0000, 0.5000, 0.7500) [2 per cell]

Computed properties:
DOS(E_F)	8.98	states/eV per cell
total magnetic moment	0.44	μB/f.u.
raw formation energy	0.947	eV/atom



> Which of these has the lowest raw formation energy?

number 4